1 | 5
Lattice="5.113 0.000 0.000 0.000 5.113 0.000 0.000 0.000 5.113" Properties=species:S:1:pos:R:3 comment="SrHf3Mn GGA-PBE optimized geometry" magmom_total_mub_per_atom=0.700 pbc="T T T"
Sr 0.000 0.000 0.000
Hf 0.000 0.000 2.557
Hf 0.000 2.557 0.000
Hf 2.557 0.000 0.000
Mn 2.557 2.557 2.557

---

2 | 5
Lattice="4.986 0.000 0.000 0.000 4.986 0.000 0.000 0.000 4.986" Properties=species:S:1:pos:R:3 comment="SrHf3Mn GGA-PBE optimized geometry" magmom_total_mub_per_atom=0.000 pbc="T T T"
Sr 0.000 0.000 0.000
Hf 0.000 2.493 2.493
Hf 2.493 0.000 2.493
Hf 2.493 2.493 0.000
Mn 2.493 2.493 2.493

---

Stability, descending: 2, 1

---

1 | 4
Lattice="0.000 3.477 3.477 3.477 0.000 3.477 3.477 3.477 0.000" Properties=species:S:1:pos:R:3 comment="SrHf2Mn GGA-PBE optimized geometry" magmom_total_mub_per_atom=0.000 pbc="T T T"
Sr 0.000 0.000 0.000
Hf 1.739 1.739 1.739
Hf 5.216 5.216 5.216
Mn 3.477 3.477 3.477

---

2 | 8
Lattice="-3.625 3.625 5.121 3.625 -3.625 5.121 3.625 3.625 -5.121" Properties=species:S:1:pos:R:3 comment="SrHf2Mn GGA-PBE optimized geometry" magmom_total_mub_per_atom=0.000 pbc="T T T"
Sr 3.625 1.812 1.280
Sr 0.000 1.812 3.841
Hf 0.000 0.000 0.000
Hf 1.812 1.812 -2.561
Hf 1.812 -1.812 2.561
Hf 0.000 3.625 0.000
Mn 3.625 -1.812 3.841
Mn 0.000 5.437 1.280

---

Stability, descending: 1, 2

---

1 | 5
Lattice="6.114 0.000 0.000 0.000 6.114 0.000 0.000 0.000 6.114" Properties=species:S:1:pos:R:3 comment="Sr3HfMn GGA-PBE optimized geometry" magmom_total_mub_per_atom=1.140 pbc="T T T"
Sr 0.000 0.000 3.057
Sr 0.000 3.057 0.000
Sr 3.057 0.000 0.000
Hf 0.000 0.000 0.000
Mn 3.057 3.057 3.057

---

2 | 5
Lattice="5.589 0.000 0.000 0.000 5.589 0.000 0.000 0.000 5.589" Properties=species:S:1:pos:R:3 comment="Sr3HfMn GGA-PBE optimized geometry" magmom_total_mub_per_atom=0.008 pbc="T T T"
Sr 0.000 0.000 2.794
Sr 0.000 2.794 0.000
Sr 2.794 0.000 0.000
Hf 2.794 2.794 2.794
Mn 0.000 0.000 0.000

---

Stability, descending: 2, 1

---

1 | 10
Lattice="6.304 0.000 0.000 0.000 6.304 0.000 0.000 0.000 4.321" Properties=species:S:1:pos:R:3 comment="Hf2TaMn2 GGA-PBE optimized geometry" magmom_total_mub_per_atom=0.000 pbc="T T T"
Hf 1.143 2.009 0.000
Hf 2.009 5.161 0.000
Hf 4.295 1.143 0.000
Hf 5.161 4.295 0.000
Ta 0.000 0.000 2.160
Ta 3.152 3.152 2.160
Mn 0.741 3.894 2.160
Mn 2.411 0.741 2.160
Mn 3.894 5.563 2.160
Mn 5.563 2.411 2.160

---

2 | 10
Lattice="7.690 0.000 0.000 0.000 7.690 0.000 0.000 0.000 2.968" Properties=species:S:1:pos:R:3 comment="Hf2TaMn2 GGA-PBE optimized geometry" magmom_total_mub_per_atom=0.875 pbc="T T T"
Hf 1.164 2.681 0.000
Hf 2.681 6.526 0.000
Hf 5.009 1.164 0.000
Hf 6.526 5.009 0.000
Ta 0.000 0.000 0.000
Ta 3.845 3.845 0.000
Mn 1.103 4.948 1.484
Mn 2.742 1.103 1.484
Mn 4.948 6.587 1.484
Mn 6.587 2.742 1.484

---

Stability, descending: 1, 2